## HfZr2Al2Rh5 (GGA-PBE)

Data for an optimized crystal structure of HfZr2Al2Rh5.

Values from the calculation:
* E: -79.91 eV/f.u.
* space-group type: No. 127

POSCAR file:
```
HfZr2Al2Rh5
1.0
3.625 0.000 0.000
0.000 9.547 0.000
0.000 0.000 9.547
Al Zr Rh Hf
4 4 10 2
direct
0.000 0.878 0.378
0.000 0.122 0.622
0.000 0.622 0.878
0.000 0.378 0.122
0.000 0.175 0.325
0.000 0.325 0.825
0.000 0.825 0.675
0.000 0.675 0.175
0.500 0.929 0.208
0.500 0.071 0.792
0.500 0.708 0.429
0.500 0.429 0.292
0.500 0.792 0.929
0.500 0.292 0.571
0.500 0.000 0.500
0.500 0.500 0.000
0.500 0.208 0.071
0.500 0.571 0.708
0.000 0.000 0.000
0.000 0.500 0.500
```



## GaRuS2N (GGA-PBE)

Data for an optimized crystal structure of GaRuS2N.

Values from the calculation:
* ΔE_f (raw): 0.368 eV/atom
* E: -27.05 eV/f.u.
* space-group type: No. 123

POSCAR file:
```
GaRuS2N
1.0
-1.253 -2.822 3.930
3.720 -3.158 -1.081
2.295 1.969 2.146
S Ru Ga N
2 1 1 1
direct
0.500 0.000 0.000
0.000 0.500 0.000
0.000 0.000 0.000
0.500 0.500 0.500
0.000 0.000 0.500
```



## Cs2YS (GGA-PBE)

Data for an optimized crystal structure of Cs2YS.

Values from the calculation:
* ΔE_f (raw): -0.475 eV/atom
* E: -14.20 eV/f.u.
* space-group type: No. 122

POSCAR file:
```
Cs2YS
1.0
-6.993 6.993 2.608
6.993 -6.993 2.608
6.993 6.993 -2.608
Y Cs S
2 4 2
direct
0.250 0.750 0.500
0.000 0.000 0.000
0.125 0.461 0.836
0.711 0.875 0.336
0.625 0.289 0.164
0.539 0.375 0.664
0.500 0.500 0.000
0.750 0.250 0.500
```



## Ac3Ti2N7 (GGA-PBE)

Data for an optimized crystal structure of Ac3Ti2N7.

Values from the calculation:
* ΔE_f (raw): -0.950 eV/atom
* E: -97.79 eV/f.u.
* space-group type: No. 139

POSCAR file:
```
Ac3Ti2N7
1.0
4.064 0.000 0.000
0.000 4.064 0.000
-2.032 -2.032 10.635
Ac N Ti
3 7 2
direct
0.318 0.318 0.636
0.682 0.682 0.364
0.500 0.500 0.000
0.406 0.906 0.812
0.594 0.094 0.188
0.805 0.805 0.611
0.000 0.000 0.000
0.094 0.594 0.188
0.906 0.406 0.812
0.195 0.195 0.389
0.098 0.098 0.196
0.902 0.902 0.804
```



## LiTaP (GGA-PBE)

Data for an optimized crystal structure of LiTaP.

Values from the calculation:
* E: -19.26 eV/f.u.
* space-group type: No. 156

POSCAR file:
```
LiTaP
1.0
2.961 0.000 0.000
-1.480 2.564 0.000
0.000 0.000 6.552
Li Ta P
1 1 1
direct
0.000 0.000 0.027
0.667 0.333 0.634
0.333 0.667 0.339
```



## BaBeF2 (GGA-PBE)

Data for an optimized crystal structure of BaBeF2.

Values from the calculation:
* ΔE_f (raw): -1.702 eV/atom
* E: -16.20 eV/f.u.
* space-group type: No. 227

POSCAR file:
```
BaBeF2
1.0
-1.738 2.953 4.669
1.017 5.690 0.372
-4.386 3.759 -0.418
F Be Ba
4 2 2
direct
0.125 0.125 0.625
0.125 0.625 0.125
0.125 0.125 0.125
0.625 0.125 0.125
0.000 0.000 0.000
0.250 0.250 0.250
0.500 0.500 0.500
0.750 0.750 0.750
```



## LiAl4Pd2 (GGA-PBE)

Data for an optimized crystal structure of LiAl4Pd2.

Values from the calculation:
* E: -27.30 eV/f.u.
* space-group type: No. 139

POSCAR file:
```
LiAl4Pd2
1.0
-2.037 3.803 -0.651
-1.538 -1.476 -3.807
-6.875 -1.062 0.688
Al Li Pd
4 1 2
direct
0.000 0.500 0.000
0.500 0.000 0.000
0.192 0.192 0.617
0.808 0.808 0.383
0.000 0.000 0.000
0.613 0.613 0.774
0.387 0.387 0.226
```



## BeCuP2S (GGA-PBE)

Data for an optimized crystal structure of BeCuP2S.

Values from the calculation:
* ΔE_f (raw): 0.749 eV/atom
* E: -19.02 eV/f.u.
* space-group type: No. 123

POSCAR file:
```
BeCuP2S
1.0
-1.442 -2.134 3.286
-3.060 -1.574 -2.365
2.611 -3.441 -1.089
P Cu S Be
2 1 1 1
direct
0.500 0.000 0.000
0.000 0.500 0.000
0.500 0.500 0.500
0.000 0.000 0.500
0.000 0.000 0.000
```



## Ti4InSb (GGA-PBE)

Data for an optimized crystal structure of Ti4InSb.

Values from the calculation:
* ΔE_f (raw): -0.268 eV/atom
* E: -40.05 eV/f.u.
* space-group type: No. 12

POSCAR file:
```
Ti4InSb
1.0
-3.436 0.657 0.889
-3.042 -3.923 -1.528
-0.132 -0.265 7.011
Sb Ti In
1 4 1
direct
0.500 0.500 0.500
0.836 0.493 0.834
0.665 0.006 0.664
0.164 0.507 0.166
0.335 0.994 0.336
0.000 0.000 0.000
```



## NaSr3Ir (GGA-PBE)

Data for an optimized crystal structure of NaSr3Ir.

Values from the calculation:
* E: -9.79 eV/f.u.
* space-group type: No. 221

POSCAR file:
```
NaSr3Ir
1.0
5.879 0.000 0.000
0.000 5.879 0.000
0.000 0.000 5.879
Sr Na Ir
3 1 1
direct
0.000 0.500 0.000
0.000 0.000 0.500
0.500 0.000 0.000
0.000 0.000 0.000
0.500 0.500 0.500
```



## K5Sn3Br12 (GGA-PBE)

Data for an optimized crystal structure of K5Sn3Br12.

Values from the calculation:
* ΔE_f (raw): -1.028 eV/atom
* E: -58.14 eV/f.u.
* space-group type: No. 230

POSCAR file:
```
K5Sn3Br12
1.0
-1.948 -9.328 -12.914
-6.142 -7.345 12.881
-7.557 13.971 -2.303
Br Sn K
48 12 20
direct
0.760 0.327 0.886
0.827 0.886 0.260
0.240 0.567 0.626
0.173 0.114 0.740
0.441 0.374 0.614
0.173 0.059 0.933
0.114 0.941 0.374
0.433 0.760 0.874
0.614 0.874 0.441
0.067 0.441 0.827
0.567 0.327 0.941
0.933 0.559 0.173
0.260 0.874 0.933
0.374 0.441 0.114
0.567 0.240 0.126
0.433 0.673 0.059
0.559 0.626 0.386
0.327 0.567 0.441
0.067 0.626 0.740
0.673 0.240 0.614
0.126 0.740 0.567
0.886 0.827 0.760
0.941 0.114 0.874
0.673 0.433 0.559
0.740 0.126 0.067
0.626 0.559 0.886
0.874 0.614 0.941
0.374 0.933 0.760
0.740 0.614 0.173
0.559 0.933 0.673
0.760 0.433 0.374
0.614 0.740 0.673
0.626 0.067 0.240
0.260 0.386 0.827
0.059 0.886 0.126
0.827 0.941 0.067
0.386 0.260 0.327
0.941 0.827 0.567
0.886 0.059 0.626
0.933 0.374 0.260
0.114 0.173 0.240
0.327 0.760 0.386
0.441 0.067 0.327
0.126 0.386 0.059
0.240 0.673 0.114
0.874 0.260 0.433
0.386 0.126 0.559
0.059 0.173 0.433
0.625 0.375 0.750
0.625 0.250 0.375
0.125 0.875 0.750
0.375 0.750 0.625
0.250 0.625 0.875
0.750 0.375 0.125
0.875 0.750 0.125
0.125 0.250 0.875
0.375 0.625 0.250
0.250 0.125 0.375
0.875 0.125 0.250
0.750 0.875 0.625
0.250 0.375 0.625
0.000 0.500 0.000
0.500 0.500 0.000
0.500 0.500 0.500
0.375 0.250 0.125
0.500 0.000 0.500
0.125 0.750 0.375
0.500 0.000 0.000
0.750 0.625 0.375
0.875 0.250 0.625
0.625 0.750 0.875
0.000 0.000 0.500
0.250 0.875 0.125
0.000 0.000 0.000
0.125 0.375 0.250
0.750 0.125 0.875
0.000 0.500 0.500
0.875 0.625 0.750
0.375 0.125 0.750
0.625 0.875 0.250
```



## LiPrHo2Au4 (GGA-PBE)

Data for an optimized crystal structure of LiPrHo2Au4.

Values from the calculation:
* E: -34.93 eV/f.u.
* space-group type: No. 166

POSCAR file:
```
LiPrHo2Au4
1.0
-2.787 -2.493 -3.291
-0.381 -4.957 0.308
-7.783 -1.651 4.072
Pr Ho Li Au
1 2 1 4
direct
0.000 0.000 0.000
0.762 0.762 0.715
0.238 0.238 0.285
0.500 0.500 0.500
0.878 0.878 0.366
0.390 0.390 0.829
0.122 0.122 0.634
0.610 0.610 0.171
```



## Mn2TlW (GGA-PBE)

Data for an optimized crystal structure of Mn2TlW.

Values from the calculation:
* E: -31.12 eV/f.u.
* space-group type: No. 12

POSCAR file:
```
Mn2TlW
1.0
4.595 0.042 -0.138
3.634 2.811 -0.138
0.870 0.302 5.195
Mn Tl W
2 1 1
direct
0.996 0.996 0.038
0.504 0.504 0.462
0.750 0.750 0.750
0.250 0.250 0.250
```



## Tb3Al8Ag (GGA-PBE)

Data for an optimized crystal structure of Tb3Al8Ag.

Values from the calculation:
* E: -50.93 eV/f.u.
* space-group type: No. 160

POSCAR file:
```
Tb3Al8Ag
1.0
5.537 0.000 0.000
2.769 4.796 0.000
2.769 1.599 8.997
Al Ag Tb
8 1 3
direct
0.189 0.189 0.434
0.939 0.435 0.686
0.438 0.942 0.182
0.438 0.438 0.182
0.939 0.939 0.686
0.689 0.689 0.934
0.942 0.438 0.182
0.435 0.939 0.686
0.867 0.867 0.400
0.995 0.995 0.016
0.504 0.504 0.488
0.375 0.375 0.875
```



## LiCdRh2C (GGA-PBE)

Data for an optimized crystal structure of LiCdRh2C.

Values from the calculation:
* E: -27.59 eV/f.u.
* space-group type: No. 123

POSCAR file:
```
LiCdRh2C
1.0
-0.616 -0.951 -3.855
-3.074 -2.354 1.072
-2.658 3.294 -0.388
Rh Li C Cd
2 1 1 1
direct
0.000 0.500 0.000
0.500 0.000 0.000
0.000 0.000 0.500
0.000 0.000 0.000
0.500 0.500 0.500
```



## La2Si2Mo (GGA-PBE)

Data for an optimized crystal structure of La2Si2Mo.

Values from the calculation:
* ΔE_f (raw): -0.342 eV/atom
* E: -33.24 eV/f.u.
* space-group type: No. 127

POSCAR file:
```
La2Si2Mo
1.0
7.046 0.000 0.000
0.000 7.046 0.000
0.000 0.000 4.565
La Si Mo
4 4 2
direct
0.318 0.182 0.500
0.182 0.682 0.500
0.818 0.318 0.500
0.682 0.818 0.500
0.125 0.375 0.000
0.625 0.125 0.000
0.875 0.625 0.000
0.375 0.875 0.000
0.500 0.500 0.000
0.000 0.000 0.000
```



## KPaTl2Te4 (GGA-PBE)

Data for an optimized crystal structure of KPaTl2Te4.

Values from the calculation:
* ΔE_f (raw): -0.697 eV/atom
* E: -33.47 eV/f.u.
* space-group type: No. 10

POSCAR file:
```
KPaTl2Te4
1.0
-0.407 -3.369 3.106
0.059 -5.688 -6.161
7.919 -2.177 -1.324
Te Pa K Tl
4 1 1 2
direct
0.500 0.714 0.293
0.500 0.286 0.707
0.000 0.724 0.712
0.000 0.276 0.288
0.000 0.500 0.500
0.500 0.500 0.000
0.500 0.000 0.500
0.000 0.000 0.000
```



## VP2RhCl (GGA-PBE)

Data for an optimized crystal structure of VP2RhCl.

Values from the calculation:
* ΔE_f (raw): 0.829 eV/atom
* E: -24.99 eV/f.u.
* space-group type: No. 123

POSCAR file:
```
VP2RhCl
1.0
4.532 0.000 0.000
0.000 4.532 0.000
0.000 0.000 4.842
P V Cl Rh
2 1 1 1
direct
0.000 0.500 0.000
0.500 0.000 0.000
0.500 0.500 0.500
0.000 0.000 0.500
0.000 0.000 0.000
```



## Rb2LaHgN (GGA-PBE)

Data for an optimized crystal structure of Rb2LaHgN.

Values from the calculation:
* ΔE_f (raw): 1.431 eV/atom
* E: -8.34 eV/f.u.
* space-group type: No. 123

POSCAR file:
```
Rb2LaHgN
1.0
-2.113 -5.949 -4.945
2.212 -3.889 3.733
-7.111 -0.524 3.669
La Rb N Hg
1 2 1 1
direct
0.000 0.000 0.000
0.500 0.000 0.000
0.000 0.000 0.500
0.500 0.500 0.500
0.000 0.500 0.000
```



## Ca3TlPd3 (GGA-PBE)

Data for an optimized crystal structure of Ca3TlPd3.

Values from the calculation:
* E: -28.07 eV/f.u.
* space-group type: No. 12

POSCAR file:
```
Ca3TlPd3
1.0
4.243 0.000 0.639
2.073 5.731 0.645
0.063 0.370 13.987
Ca Pd Tl
6 6 2
direct
0.611 0.705 0.073
0.389 0.295 0.927
0.494 0.638 0.374
0.272 0.239 0.216
0.506 0.362 0.626
0.728 0.761 0.784
0.880 0.689 0.551
0.109 0.857 0.925
0.120 0.311 0.449
0.891 0.143 0.075
0.012 0.202 0.774
0.988 0.798 0.226
0.221 0.952 0.605
0.779 0.048 0.395
```